Version a
Here is crystalline CrTcP2 at its relaxed geometry from Alexandria via LeMat-Bulk. Energies are from GGA-PBE.

Cell and atoms, written as POSCAR:
```
CrTcP2
1.0
2.873 0.000 0.000
0.000 3.444 0.000
0.000 0.000 5.396
Cr Tc P
1 1 2
direct
0.000 0.000 0.000
0.500 0.000 0.500
0.500 0.500 0.206
0.500 0.500 0.794
```

Results
calculated volume	13.35	A^3/atom
N(E_F)	2.67	states/eV per cell
symmetry	Pmmm (47)

***

Version b
Here is crystalline CrTcP2 at its relaxed geometry from Alexandria via LeMat-Bulk. Energies are from GGA-PBE.

Cell and atoms, written as POSCAR:
```
CrTcP2
1.0
-2.405 2.405 6.117
2.405 -2.405 6.117
2.405 2.405 -6.117
Cr Tc P
2 2 4
direct
0.000 0.000 0.000
0.750 0.250 0.500
0.250 0.750 0.500
0.500 0.500 0.000
0.127 0.625 0.002
0.375 0.377 0.502
0.623 0.125 0.998
0.875 0.873 0.498
```

Results
calculated volume	17.69	A^3/atom
N(E_F)	4.36	states/eV per cell
symmetry	I-42d (122)

***

Most stable structure - version a; separation to the second - 44 meV/atom.

***

Version a
Here is crystalline Cr2TeP at its relaxed geometry from Alexandria via LeMat-Bulk. Energies are from GGA-PBE.

Cell and atoms, written as POSCAR:
```
Cr2TeP
1.0
-1.624 1.661 6.059
1.624 -1.661 6.059
1.624 1.661 -6.059
Cr Te P
2 1 1
direct
0.000 0.000 0.000
0.812 0.312 0.500
0.199 0.699 0.500
0.445 0.445 0.000
```

Results
calculated volume	16.34	A^3/atom
N(E_F)	2.54	states/eV per cell
symmetry	Imm2 (44)

***

Version b
Here is crystalline Cr2TeP at its relaxed geometry from Alexandria via LeMat-Bulk. Energies are from GGA-PBE.

Cell and atoms, written as POSCAR:
```
Cr2TeP
1.0
3.625 0.000 0.000
-1.812 3.139 0.000
0.000 0.000 6.165
Cr Te P
2 1 1
direct
0.000 0.000 0.213
0.000 0.000 0.787
0.667 0.333 0.500
0.333 0.667 0.000
```

Results
calculated volume	17.54	A^3/atom
N(E_F)	3.66	states/eV per cell
symmetry	P-6m2 (187)

***

Version c
Here is crystalline Cr2TeP at its relaxed geometry from Alexandria via LeMat-Bulk. Energies are from GGA-PBE.

Cell and atoms, written as POSCAR:
```
Cr2TeP
1.0
1.815 1.048 6.067
-1.815 1.048 6.067
0.000 -2.096 6.067
Cr Te P
2 1 1
direct
0.225 0.225 0.225
0.775 0.775 0.775
0.000 0.000 0.000
0.500 0.500 0.500
```

Results
calculated volume	17.30	A^3/atom
N(E_F)	2.59	states/eV per cell
symmetry	R-3m (166)

***

Version d
Here is crystalline Cr2TeP at its relaxed geometry from Alexandria via LeMat-Bulk. Energies are from GGA-PBE.

Cell and atoms, written as POSCAR:
```
Cr2TeP
1.0
3.167 0.000 0.000
0.000 3.364 0.000
-1.525 0.000 5.710
Cr Te P
2 1 1
direct
0.134 0.000 0.282
0.866 0.000 0.718
0.500 0.500 0.000
0.000 0.500 0.500
```

Results
calculated volume	15.21	A^3/atom
N(E_F)	3.61	states/eV per cell
symmetry	P2/m (10)

***

Most stable structure - version b; separation to the second - 6 meV/atom.

***

Version a
Here is crystalline Cr2TeP at its relaxed geometry from Alexandria via LeMat-Bulk. Energies are from GGA-PBE.

Cell and atoms, written as POSCAR:
```
Cr2TeP
1.0
0.000 3.303 3.303
3.303 0.000 3.303
3.303 3.303 0.000
Cr Te P
2 1 1
direct
0.000 0.000 0.000
0.250 0.250 0.250
0.750 0.750 0.750
0.500 0.500 0.500
```

Results
calculated volume	18.01	A^3/atom
N(E_F)	2.86	states/eV per cell
symmetry	F-43m (216)

***

Version b
Here is crystalline Cr2TeP at its relaxed geometry from Alexandria via LeMat-Bulk. Energies are from GGA-PBE.

Cell and atoms, written as POSCAR:
```
Cr2TeP
1.0
-1.927 1.927 4.831
1.927 -1.927 4.831
1.927 1.927 -4.831
Cr Te P
2 1 1
direct
0.000 0.000 0.000
0.750 0.250 0.500
0.500 0.500 0.000
0.250 0.750 0.500
```

Results
calculated volume	17.95	A^3/atom
N(E_F)	3.08	states/eV per cell
symmetry	I-4m2 (119)

***

Most stable structure - version b; separation to the second - 390 meV/atom.

***

Version a
Here is crystalline Cr3TeP at its relaxed geometry from Alexandria via LeMat-Bulk. Energies are from GGA-PBE.

Cell and atoms, written as POSCAR:
```
Cr3TeP
1.0
4.597 0.000 0.000
0.000 4.597 0.000
0.000 0.000 4.597
Cr Te P
3 1 1
direct
0.000 0.000 0.500
0.000 0.500 0.000
0.500 0.000 0.000
0.500 0.500 0.500
0.000 0.000 0.000
```

Results
calculated volume	19.43	A^3/atom
N(E_F)	3.48	states/eV per cell
symmetry	Pm-3m (221)

***

Version b
Here is crystalline Cr3TeP at its relaxed geometry from Alexandria via LeMat-Bulk. Energies are from GGA-PBE.

Cell and atoms, written as POSCAR:
```
Cr3TeP
1.0
4.681 0.000 0.000
0.000 4.681 0.000
0.000 0.000 4.681
Cr Te P
3 1 1
direct
0.000 0.000 0.500
0.000 0.500 0.000
0.500 0.000 0.000
0.000 0.000 0.000
0.500 0.500 0.500
```

Results
calculated volume	20.51	A^3/atom
N(E_F)	12.35	states/eV per cell
symmetry	Pm-3m (221)

***

Most stable structure - version a; separation to the second - 1639 meV/atom.

***

Version a
Here is crystalline CrTe3P at its relaxed geometry from Alexandria via LeMat-Bulk. Energies are from GGA-PBE.

Cell and atoms, written as POSCAR:
```
CrTe3P
1.0
5.141 0.000 0.000
0.000 5.141 0.000
0.000 0.000 5.141
Cr Te P
1 3 1
direct
0.000 0.000 0.000
0.000 0.500 0.500
0.500 0.000 0.500
0.500 0.500 0.000
0.500 0.500 0.500
```

Results
calculated volume	27.17	A^3/atom
N(E_F)	12.85	states/eV per cell
symmetry	Pm-3m (221)

***

Version b
Here is crystalline CrTe3P at its relaxed geometry from Alexandria via LeMat-Bulk. Energies are from GGA-PBE.

Cell and atoms, written as POSCAR:
```
CrTe3P
1.0
4.997 0.000 0.000
0.000 4.997 0.000
0.000 0.000 4.997
Cr Te P
1 3 1
direct
0.000 0.000 0.000
0.000 0.000 0.500
0.000 0.500 0.000
0.500 0.000 0.000
0.500 0.500 0.500
```

Results
calculated volume	24.95	A^3/atom
N(E_F)	4.84	states/eV per cell
symmetry	Pm-3m (221)

***

Most stable structure - version b; separation to the second - 419 meV/atom.

***

Version a
Here is crystalline TiCrP3 at its relaxed geometry from Alexandria via LeMat-Bulk. Energies are from GGA-PBE.

Cell and atoms, written as POSCAR:
```
TiCrP3
1.0
4.620 0.000 0.000
0.000 4.620 0.000
0.000 0.000 4.620
Ti Cr P
1 1 3
direct
0.000 0.000 0.000
0.500 0.500 0.500
0.000 0.000 0.500
0.000 0.500 0.000
0.500 0.000 0.000
```

Results
calculated volume	19.73	A^3/atom
N(E_F)	7.19	states/eV per cell
symmetry	Pm-3m (221)

***

Version b
Here is crystalline TiCrP3 at its relaxed geometry from Alexandria via LeMat-Bulk. Energies are from GGA-PBE.

Cell and atoms, written as POSCAR:
```
TiCrP3
1.0
4.439 0.000 0.000
0.000 4.439 0.000
0.000 0.000 4.439
Ti Cr P
1 1 3
direct
0.000 0.000 0.000
0.500 0.500 0.500
0.000 0.500 0.500
0.500 0.000 0.500
0.500 0.500 0.000
```

Results
calculated volume	17.50	A^3/atom
N(E_F)	6.53	states/eV per cell
symmetry	Pm-3m (221)

***

Most stable structure - version b; separation to the second - 492 meV/atom.

***

Version a
Here is crystalline TlCr3P at its relaxed geometry from Alexandria via LeMat-Bulk. Energies are from GGA-PBE.

Cell and atoms, written as POSCAR:
```
TlCr3P
1.0
5.070 0.000 0.000
0.000 5.070 0.000
0.000 0.000 5.070
Tl Cr P
1 3 1
direct
0.000 0.000 0.000
0.000 0.000 0.500
0.000 0.500 0.000
0.500 0.000 0.000
0.500 0.500 0.500
```

Results
calculated volume	26.07	A^3/atom
N(E_F)	4.86	states/eV per cell
symmetry	Pm-3m (221)

***

Version b
Here is crystalline TlCr3P at its relaxed geometry from Alexandria via LeMat-Bulk. Energies are from GGA-PBE.

Cell and atoms, written as POSCAR:
```
TlCr3P
1.0
4.268 0.000 0.000
0.000 4.268 0.000
0.000 0.000 4.268
Tl Cr P
1 3 1
direct
0.000 0.000 0.000
0.000 0.500 0.500
0.500 0.000 0.500
0.500 0.500 0.000
0.500 0.500 0.500
```

Results
calculated volume	15.55	A^3/atom
N(E_F)	6.04	states/eV per cell
symmetry	Pm-3m (221)

***

Most stable structure - version b; separation to the second - 1189 meV/atom.

***

Version a
Here is crystalline UCr5P3 at its relaxed geometry from Alexandria via LeMat-Bulk. Energies are from GGA-PBE.

Cell and atoms, written as POSCAR:
```
UCr5P3
1.0
1.878 -5.880 0.000
1.878 5.880 0.000
0.000 0.000 11.153
U Cr P
2 10 6
direct
0.156 0.844 0.750
0.844 0.156 0.250
0.000 0.000 0.000
0.000 0.000 0.500
0.193 0.807 0.047
0.193 0.807 0.453
0.434 0.566 0.652
0.434 0.566 0.848
0.566 0.434 0.152
0.566 0.434 0.348
0.807 0.193 0.547
0.807 0.193 0.953
0.146 0.854 0.250
0.386 0.614 0.063
0.386 0.614 0.437
0.614 0.386 0.563
0.614 0.386 0.937
0.854 0.146 0.750
```

Results
calculated volume	13.69	A^3/atom
N(E_F)	22.76	states/eV per cell
symmetry	Cmcm (63)

***

Version b
Here is crystalline UCr5P3 at its relaxed geometry from Alexandria via LeMat-Bulk. Energies are from GGA-PBE.

Cell and atoms, written as POSCAR:
```
UCr5P3
1.0
6.766 0.000 0.000
0.000 3.731 0.000
-1.376 0.000 9.388
U Cr P
2 10 6
direct
0.180 0.250 0.283
0.820 0.750 0.717
0.085 0.250 0.601
0.160 0.750 0.009
0.322 0.750 0.778
0.395 0.250 0.013
0.459 0.250 0.571
0.541 0.750 0.429
0.605 0.750 0.987
0.678 0.250 0.222
0.840 0.250 0.991
0.915 0.750 0.399
0.101 0.250 0.847
0.238 0.750 0.520
0.442 0.750 0.187
0.558 0.250 0.813
0.762 0.250 0.480
0.899 0.750 0.153
```

Results
calculated volume	13.17	A^3/atom
N(E_F)	16.77	states/eV per cell
symmetry	P2_1/m (11)

***

Most stable structure - version b; separation to the second - 96 meV/atom.

***

Version a
Here is crystalline UCrP2 at its relaxed geometry from Alexandria via LeMat-Bulk. Energies are from GGA-PBE.

Cell and atoms, written as POSCAR:
```
UCrP2
1.0
-1.737 1.737 6.173
1.737 -1.737 6.173
1.737 1.737 -6.173
U Cr P
1 1 2
direct
0.000 0.000 0.000
0.250 0.750 0.500
0.376 0.376 0.000
0.624 0.624 0.000
```

Results
calculated volume	18.62	A^3/atom
N(E_F)	5.46	states/eV per cell
symmetry	I-4m2 (119)

***

Version b
Here is crystalline UCrP2 at its relaxed geometry from Alexandria via LeMat-Bulk. Energies are from GGA-PBE.

Cell and atoms, written as POSCAR:
```
UCrP2
1.0
1.432 0.827 9.036
-1.432 0.827 9.036
0.000 -1.654 9.036
U Cr P
1 1 2
direct
0.000 0.000 0.000
0.500 0.500 0.500
0.105 0.105 0.105
0.895 0.895 0.895
```

Results
calculated volume	16.05	A^3/atom
N(E_F)	6.56	states/eV per cell
symmetry	R-3m (166)

***

Version c
Here is crystalline UCrP2 at its relaxed geometry from Alexandria via LeMat-Bulk. Energies are from GGA-PBE.

Cell and atoms, written as POSCAR:
```
UCrP2
1.0
1.805 1.042 6.098
-1.805 1.042 6.098
0.000 -2.085 6.098
U Cr P
1 1 2
direct
0.000 0.000 0.000
0.175 0.175 0.175
0.437 0.437 0.437
0.570 0.570 0.570
```

Results
calculated volume	17.22	A^3/atom
N(E_F)	6.60	states/eV per cell
symmetry	R3m (160)

***

Most stable structure - version c; separation to the second - 98 meV/atom.

***

Version a
Here is crystalline CrPW3 at its relaxed geometry from Alexandria via LeMat-Bulk. Energies are from GGA-PBE.

Cell and atoms, written as POSCAR:
```
CrPW3
1.0
4.443 0.000 0.000
0.000 4.443 0.000
0.000 0.000 4.443
Cr P W
1 1 3
direct
0.000 0.000 0.000
0.500 0.500 0.500
0.000 0.500 0.500
0.500 0.000 0.500
0.500 0.500 0.000
```

Results
calculated volume	17.54	A^3/atom
N(E_F)	4.04	states/eV per cell
symmetry	Pm-3m (221)

***

Version b
Here is crystalline CrPW3 at its relaxed geometry from Alexandria via LeMat-Bulk. Energies are from GGA-PBE.

Cell and atoms, written as POSCAR:
```
CrPW3
1.0
4.505 0.000 0.000
0.000 4.505 0.000
0.000 0.000 4.505
Cr P W
1 1 3
direct
0.000 0.000 0.000
0.500 0.500 0.500
0.000 0.000 0.500
0.000 0.500 0.000
0.500 0.000 0.000
```

Results
calculated volume	18.29	A^3/atom
N(E_F)	6.71	states/eV per cell
symmetry	Pm-3m (221)

***

Most stable structure - version a; separation to the second - 725 meV/atom.

***

Version a
Here is crystalline YCr3P at its relaxed geometry from Alexandria via LeMat-Bulk. Energies are from GGA-PBE.

Cell and atoms, written as POSCAR:
```
YCr3P
1.0
4.337 0.000 0.000
0.000 4.337 0.000
0.000 0.000 4.337
Y Cr P
1 3 1
direct
0.000 0.000 0.000
0.000 0.500 0.500
0.500 0.000 0.500
0.500 0.500 0.000
0.500 0.500 0.500
```

Results
calculated volume	16.32	A^3/atom
N(E_F)	6.67	states/eV per cell
symmetry	Pm-3m (221)

***

Version b
Here is crystalline YCr3P at its relaxed geometry from Alexandria via LeMat-Bulk. Energies are from GGA-PBE.

Cell and atoms, written as POSCAR:
```
YCr3P
1.0
4.897 0.000 0.000
0.000 4.897 0.000
0.000 0.000 4.897
Y Cr P
1 3 1
direct
0.000 0.000 0.000
0.000 0.000 0.500
0.000 0.500 0.000
0.500 0.000 0.000
0.500 0.500 0.500
```

Results
calculated volume	23.48	A^3/atom
N(E_F)	4.95	states/eV per cell
symmetry	Pm-3m (221)

***

Most stable structure - version a; separation to the second - 1916 meV/atom.

***

Version a
Here is crystalline ZnCr2P at its relaxed geometry from Alexandria via LeMat-Bulk. Energies are from GGA-PBE.

Cell and atoms, written as POSCAR:
```
ZnCr2P
1.0
1.491 -2.029 0.000
1.491 2.029 0.000
0.000 0.000 9.520
Zn Cr P
1 2 1
direct
0.000 0.000 0.000
0.000 0.000 0.427
0.500 0.500 0.224
0.500 0.500 0.620
```

Results
calculated volume	14.40	A^3/atom
N(E_F)	3.12	states/eV per cell
symmetry	Cmm2 (35)

***

Version b
Here is crystalline ZnCr2P at its relaxed geometry from Alexandria via LeMat-Bulk. Energies are from GGA-PBE.

Cell and atoms, written as POSCAR:
```
ZnCr2P
1.0
1.535 -2.156 0.000
1.535 2.156 0.000
0.000 0.000 7.569
Zn Cr P
1 2 1
direct
0.000 0.000 0.000
0.500 0.500 0.281
0.500 0.500 0.719
0.000 0.000 0.500
```

Results
calculated volume	12.53	A^3/atom
N(E_F)	4.53	states/eV per cell
symmetry	Cmmm (65)

***

Most stable structure - version b; separation to the second - 48 meV/atom.